The following is a DFT calculation (GGA-PBE) of crystalline CeInPdPt at its relaxed geometry.

- formation enthalpy at 0 K (eV per atom) = -0.778

Unit cell a=4.884 b=4.884 c=4.884 alpha=60.00 beta=60.00 gamma=60.00
Fractional coordinates of all 4 atoms:
Pd1 0.500 0.500 0.500
Ce1 0.250 0.250 0.250
Pt1 0.000 0.000 0.000
In1 0.750 0.750 0.750